No. 1
Compound: CsTeP3
Source: Alexandria
Functional: PBE
Structure: optimized geometry

abc: 5.4522 5.4522 5.4522
angles: 90.00 90.00 90.00
With the nearest neighbours (Å) after each atom.
Positions (direct):
P (0.0000, 0.0000, 0.5000)  2 Cs 2.73
P (0.5000, 0.0000, 0.0000)  2 Cs 2.73
P (0.0000, 0.5000, 0.0000)  2 Cs 2.73
Te (0.5000, 0.5000, 0.5000)  12 P 3.86
Cs (0.0000, 0.0000, 0.0000)  6 P 2.73

Energy relative to the elements, uncorrected: 10.571 eV/f.u.
Total magnetization: 0.00 μB per formula unit
Final energy: -9.653 eV for the cell shown
Volume: 162.1 Å³/cell

No. 2
Compound: Ni2WAuN
Source: Alexandria
Functional: PBE
Structure: optimized geometry

abc: 3.9473 3.9473 4.0180
angles: 90.00 90.00 90.00
With the nearest neighbours (Å) after each atom.
Positions (direct):
W (0.0000, 0.0000, 0.5000)  2 N 2.01
Au (0.5000, 0.5000, 0.5000)  4 W 2.79, 8 Ni 2.82
Ni (0.0000, 0.5000, 0.0000)  2 N 1.97
Ni (0.5000, 0.0000, 0.0000)  2 N 1.97
N (0.0000, 0.0000, 0.0000)  4 Ni 1.97, 2 W 2.01

Energy relative to the elements, uncorrected: 0.361 eV/f.u.
Total magnetization: 0.80 μB per formula unit
Final energy: -35.757 eV for the cell shown
Volume: 62.6 Å³/cell

No. 3
Compound: AcMgTe3
Source: Alexandria
Functional: PBE
Structure: optimized geometry

abc: 6.1607 9.1408 8.3966
angles: 122.98 111.52 90.00
With the nearest neighbours (Å) after each atom.
Positions (direct):
Te (0.5823, 0.4495, 0.1646)  1 Mg 2.83
Te (0.0823, 0.2150, 0.1646)  1 Mg 2.83
Te (0.4177, 0.5505, 0.8354)  1 Mg 2.83
Te (0.2500, 0.8682, 0.5000)  3 Mg 2.84-3.11
Te (0.7500, 0.1318, 0.5000)  3 Mg 2.84-3.11
Te (0.9177, 0.7850, 0.8354)  1 Mg 2.83
Mg (0.2500, 0.1786, 0.5000)  5 Te 2.83-3.11
Mg (0.7500, 0.8214, 0.5000)  5 Te 2.83-3.11
Ac (0.5000, 0.0000, 0.0000)  8 Te 3.35-3.52
Ac (0.0000, 0.5000, 0.0000)  8 Te 3.35-3.52

Energy relative to the elements, uncorrected: -4.930 eV/f.u.
Total magnetization: 0.00 μB per formula unit
Final energy: -40.116 eV for the cell shown
Volume: 356.7 Å³/cell

No. 4
Compound: YHo2MnS6
Source: Alexandria
Functional: PBE
Structure: optimized geometry

abc: 6.8653 6.5828 7.2894
angles: 61.41 59.60 59.69
With the nearest neighbours (Å) after each atom.
Positions (direct):
Mn (0.3230, 0.3220, 0.0319)  4 S 2.41-2.43
Y (0.8193, 0.8151, 0.5506)  6 S 2.64-2.83
S (0.4184, 0.6906, 0.7734)  1 Mn 2.42, 1 Ho 2.70
S (0.1148, 0.4281, 0.7520)  2 Ho 2.64-2.70, 1 Y 2.64, 1 Mn 2.70
S (0.5915, 0.2044, 0.2649)  2 Ho 2.67-2.70, 1 Mn 2.71, 1 Y 2.74
S (0.9599, 0.5758, 0.2460)  1 Mn 2.41
S (0.6915, 0.1211, 0.7721)  1 Mn 2.43, 1 Y 2.71, 1 Ho 2.72
S (0.2217, 0.9529, 0.2360)  1 Mn 2.41
Ho (0.5177, 0.5266, 0.4373)  6 S 2.67-2.83
Ho (0.0039, 0.0251, 0.9510)  6 S 2.64-2.87

Energy relative to the elements, uncorrected: -16.033 eV/f.u.
Total magnetization: 4.00 μB per formula unit
Final energy: -65.587 eV for the cell shown
Volume: 234.0 Å³/cell

No. 5
Compound: LuInGePd
Source: Alexandria
Functional: PBE
Structure: optimized geometry

abc: 4.8405 4.8405 4.8405
angles: 60.00 60.00 60.00
With the nearest neighbours (Å) after each atom.
Positions (direct):
Pd (0.7500, 0.7500, 0.7500)  4 In 2.96, 4 Lu 2.96
In (0.5000, 0.5000, 0.5000)  4 Pd 2.96, 4 Ge 2.96
Ge (0.2500, 0.2500, 0.2500)  4 In 2.96, 4 Lu 2.96
Lu (0.0000, 0.0000, 0.0000)  4 Ge 2.96, 4 Pd 2.96

Energy relative to the elements: -0.521 eV per atom
Total magnetization: 0.00 μB per formula unit
Final energy: -19.155 eV for the cell shown
Volume: 80.2 Å³/cell

No. 6
Compound: RbCrPb2Au
Source: Alexandria
Functional: PBE
Structure: optimized geometry

abc: 5.2334 6.2935 5.2334
angles: 90.00 90.00 90.00
With the nearest neighbours (Å) after each atom.
Positions (direct):
Pb (0.5000, 0.0000, 0.0000)  2 Cr 2.62
Pb (0.0000, 0.0000, 0.5000)  2 Cr 2.62
Cr (0.0000, 0.0000, 0.0000)  4 Pb 2.62
Au (0.5000, 0.5000, 0.5000)  4 Rb 3.70, 8 Pb 4.09
Rb (0.0000, 0.5000, 0.0000)  2 Cr 3.15

Energy relative to the elements: 0.539 eV per atom
Total magnetization: 2.50 μB per formula unit
Final energy: -18.592 eV for the cell shown
Volume: 172.4 Å³/cell

No. 7
Compound: Rb4CaH5
Source: Alexandria
Functional: PBE
Structure: optimized geometry

abc: 6.0490 7.1593 7.1593
angles: 79.72 65.01 65.01
With the nearest neighbours (Å) after each atom.
Positions (direct):
Rb (0.4033, 0.3974, 0.8098)  5 H 2.92-3.08
Rb (0.2131, 0.1902, 0.3974)  5 H 2.92-3.08
Rb (0.8007, 0.8098, 0.6026)  5 H 2.92-3.08
Rb (0.6104, 0.6026, 0.1902)  5 H 2.92-3.08
H (0.0884, 0.6759, 0.1655)  1 Ca 2.37
H (0.7643, 0.1655, 0.3241)  1 Ca 2.37
H (0.2539, 0.8345, 0.6759)  1 Ca 2.37
H (0.9298, 0.3241, 0.8345)  1 Ca 2.37
H (0.4102, 0.0000, 0.0000)  1 Ca 2.26
Ca (0.0362, 0.0000, 0.0000)  5 H 2.26-2.37

Total magnetization: 0.00 μB per formula unit
Final energy: -24.085 eV for the cell shown
Volume: 254.7 Å³/cell

No. 8
Compound: TaCrMoRh
Source: Alexandria
Functional: PBE
Structure: optimized geometry

abc: 4.4251 4.4251 4.4251
angles: 60.00 60.00 60.00
With the nearest neighbours (Å) after each atom.
Positions (direct):
Cr (0.5000, 0.5000, 0.5000)  4 Rh 2.71, 4 Mo 2.71
Mo (0.7500, 0.7500, 0.7500)  4 Cr 2.71, 4 Ta 2.71
Ta (0.0000, 0.0000, 0.0000)  4 Mo 2.71, 4 Rh 2.71
Rh (0.2500, 0.2500, 0.2500)  4 Cr 2.71, 4 Ta 2.71

Energy relative to the elements: -0.110 eV per atom
Total magnetization: 2.16 μB per formula unit
Final energy: -40.100 eV for the cell shown
Volume: 61.3 Å³/cell

Question: volume of number 7 (Rb4CaH5)?
Answer: 254.7 Å³/cell

Question: total magnetization of number 2 (Ni2WAuN)?
Answer: 0.80 μB per formula unit

What did the fifth record say?
Compound: LuInGePd
Source: Alexandria
Functional: PBE
Structure: optimized geometry

abc: 4.8405 4.8405 4.8405
angles: 60.00 60.00 60.00
With the nearest neighbours (Å) after each atom.
Positions (direct):
Pd (0.7500, 0.7500, 0.7500)  4 In 2.96, 4 Lu 2.96
In (0.5000, 0.5000, 0.5000)  4 Pd 2.96, 4 Ge 2.96
Ge (0.2500, 0.2500, 0.2500)  4 In 2.96, 4 Lu 2.96
Lu (0.0000, 0.0000, 0.0000)  4 Ge 2.96, 4 Pd 2.96

Energy relative to the elements: -0.521 eV per atom
Total magnetization: 0.00 μB per formula unit
Final energy: -19.155 eV for the cell shown
Volume: 80.2 Å³/cell

Copy entry 3 word for word.
Compound: AcMgTe3
Source: Alexandria
Functional: PBE
Structure: optimized geometry

abc: 6.1607 9.1408 8.3966
angles: 122.98 111.52 90.00
With the nearest neighbours (Å) after each atom.
Positions (direct):
Te (0.5823, 0.4495, 0.1646)  1 Mg 2.83
Te (0.0823, 0.2150, 0.1646)  1 Mg 2.83
Te (0.4177, 0.5505, 0.8354)  1 Mg 2.83
Te (0.2500, 0.8682, 0.5000)  3 Mg 2.84-3.11
Te (0.7500, 0.1318, 0.5000)  3 Mg 2.84-3.11
Te (0.9177, 0.7850, 0.8354)  1 Mg 2.83
Mg (0.2500, 0.1786, 0.5000)  5 Te 2.83-3.11
Mg (0.7500, 0.8214, 0.5000)  5 Te 2.83-3.11
Ac (0.5000, 0.0000, 0.0000)  8 Te 3.35-3.52
Ac (0.0000, 0.5000, 0.0000)  8 Te 3.35-3.52

Energy relative to the elements, uncorrected: -4.930 eV/f.u.
Total magnetization: 0.00 μB per formula unit
Final energy: -40.116 eV for the cell shown
Volume: 356.7 Å³/cell